This record from Alexandria via LeMat-Bulk describes a crystal of LiRe2Br relaxed with PBEsol. The functional is meta-GGA SCAN.

abc: 2.6861 2.6861 8.6415
angles: 90.00 90.00 90.00
Atoms (fractional coordinates):
Br: 0.5000 0.5000 0.0000
Li: 0.5000 0.5000 0.5000
Re: 0.0000 0.0000 0.7461
Re: 0.0000 0.0000 0.2539

Values from the calculation:
Energy relative to the lowest polymorph listed for this composition = 330 meV/atom
Symmetry = P4/mmm, No. 123

This record from Alexandria via LeMat-Bulk describes a crystal of Nd2Te3MoO12 relaxed with PBEsol. The functional is meta-GGA SCAN.

abc: 5.3149 11.2567 17.5120
angles: 90.00 90.00 90.00
Atoms (fractional coordinates):
Nd: 0.7457 0.0771 0.9374
Nd: 0.2457 0.5771 0.5626
Nd: 0.2543 0.5771 0.0626
Nd: 0.2543 0.9229 0.0626
Nd: 0.2457 0.9229 0.5626
Nd: 0.7543 0.0771 0.4374
Nd: 0.7457 0.4229 0.9374
Nd: 0.7543 0.4229 0.4374
Te: 0.7722 0.4114 0.1748
Te: 0.2870 0.2500 0.5499
Te: 0.7870 0.7500 0.9501
Te: 0.2722 0.5886 0.3252
Te: 0.2130 0.2500 0.0499
Te: 0.7278 0.4114 0.6748
Te: 0.7278 0.0886 0.6748
Te: 0.2278 0.9114 0.8252
Te: 0.2278 0.5886 0.8252
Te: 0.7722 0.0886 0.1748
Te: 0.2722 0.9114 0.3252
Te: 0.7130 0.7500 0.4501
Mo: 0.2626 0.2500 0.3203
Mo: 0.7374 0.7500 0.6797
Mo: 0.2374 0.2500 0.8203
Mo: 0.7626 0.7500 0.1797
O: 0.4951 0.7500 0.5379
O: 0.0437 0.1200 0.8259
O: 0.3964 0.3837 0.0123
O: 0.6409 0.7500 0.2712
O: 0.0049 0.7500 0.0379
O: 0.0348 0.0119 0.6641
O: 0.9563 0.8800 0.1741
O: 0.6036 0.8837 0.9877
O: 0.4563 0.1200 0.3259
O: 0.5856 0.0689 0.5745
O: 0.4853 0.7500 0.1209
O: 0.3964 0.1163 0.0123
O: 0.9853 0.2500 0.3791
O: 0.4144 0.9311 0.4255
O: 0.5348 0.5119 0.8359
O: 0.8613 0.2500 0.6476
O: 0.6036 0.6163 0.9877
O: 0.5856 0.4311 0.5745
O: 0.4563 0.3800 0.3259
O: 0.9563 0.6200 0.1741
O: 0.9652 0.5119 0.3359
O: 0.3591 0.2500 0.7288
O: 0.0856 0.5689 0.9255
O: 0.1036 0.1163 0.5123
O: 0.8591 0.7500 0.7712
O: 0.9652 0.9881 0.3359
O: 0.4652 0.4881 0.1641
O: 0.9144 0.4311 0.0745
O: 0.5437 0.6200 0.6741
O: 0.8964 0.8837 0.4877
O: 0.5348 0.9881 0.8359
O: 0.8964 0.6163 0.4877
O: 0.4652 0.0119 0.1641
O: 0.1409 0.2500 0.2288
O: 0.5437 0.8800 0.6741
O: 0.0437 0.3800 0.8259
O: 0.0147 0.7500 0.6209
O: 0.0856 0.9311 0.9255
O: 0.1036 0.3837 0.5123
O: 0.1387 0.7500 0.3524
O: 0.3613 0.7500 0.8524
O: 0.5147 0.2500 0.8791
O: 0.6387 0.2500 0.1476
O: 0.9951 0.2500 0.9621
O: 0.0348 0.4881 0.6641
O: 0.9144 0.0689 0.0745
O: 0.4144 0.5689 0.4255
O: 0.5049 0.2500 0.4621

Values from the calculation:
Energy = -348.09 eV per formula unit
Symmetry = Pnma, No. 62

This record from Alexandria via LeMat-Bulk describes a crystal of K3CaP relaxed with PBEsol. The functional is meta-GGA SCAN.

abc: 6.7279 6.7279 6.7279
angles: 90.00 90.00 90.00
Atoms (fractional coordinates):
Ca: 0.0000 0.0000 0.0000
K: 0.5000 0.0000 0.0000
K: 0.0000 0.5000 0.0000
K: 0.0000 0.0000 0.5000
P: 0.5000 0.5000 0.5000

Values from the calculation:
DFT formation energy = 988 meV/atom
Symmetry = Pm-3m, No. 221

This record from Alexandria via LeMat-Bulk describes a crystal of AgSnP2H relaxed with PBEsol. The functional is meta-GGA SCAN.

abc: 3.3542 4.9359 4.9359
angles: 90.00 90.00 90.00
Atoms (fractional coordinates):
P: 0.0000 0.0000 0.5000
P: 0.0000 0.5000 0.0000
Sn: 0.5000 0.5000 0.5000
Ag: 0.0000 0.0000 0.0000
H: 0.5000 0.0000 0.0000

Values from the calculation:
Energy = -88.73 eV per formula unit
Symmetry = P4/mmm, No. 123

This record from Alexandria via LeMat-Bulk describes a crystal of Al2TcNi relaxed with PBEsol. The functional is meta-GGA SCAN.

abc: 2.9748 2.9595 5.8185
angles: 90.00 90.00 90.00
Atoms (fractional coordinates):
Ni: 0.5000 0.5000 0.0000
Tc: 0.5000 0.5000 0.5000
Al: 0.0000 0.0000 0.7597
Al: 0.0000 0.0000 0.2403

Values from the calculation:
DFT formation energy = -582 meV/atom
Symmetry = Pmmm, No. 47

This record from Alexandria via LeMat-Bulk describes a crystal of TiGa2O5 relaxed with PBEsol. The functional is meta-GGA SCAN.

abc: 4.9800 5.5810 6.9707
angles: 108.05 90.00 116.50
Atoms (fractional coordinates):
Ti: 0.0000 0.0000 0.5000
Ti: 0.0000 0.0000 0.0000
Ga: 0.3646 0.7258 0.2733
Ga: 0.3612 0.7258 0.7733
Ga: 0.6388 0.2742 0.2267
Ga: 0.6354 0.2742 0.7267
O: 0.5807 0.8290 0.0505
O: 0.2483 0.8290 0.5505
O: 0.6611 0.6306 0.3513
O: 0.0304 0.3694 0.1487
O: 0.9696 0.6306 0.8513
O: 0.3389 0.3694 0.6487
O: 0.7517 0.1710 0.4495
O: 0.1976 0.0000 0.2500
O: 0.4193 0.1710 0.9495
O: 0.8024 0.0000 0.7500

Values from the calculation:
Energy relative to the lowest polymorph listed for this composition = 21 meV/atom
Symmetry = C2/c, No. 15